Compound: K2Sc2BiO6
Source: Alexandria
Functional: GGA-PBE
Structure: optimized geometry

The structure in CIF format:
```
data_K2Sc2BiO6
_cell_length_a 5.709
_cell_length_b 9.923
_cell_length_c 6.642
_cell_angle_alpha 90.00
_cell_angle_beta 106.84
_cell_angle_gamma 90.00
_symmetry_space_group_name_H-M 'C 1 2/m 1'
_symmetry_Int_Tables_number 12
_symmetry_space_group_name_Hall '-C 2y'
loop_
_atom_site_label
_atom_site_fract_x
_atom_site_fract_y
_atom_site_fract_z
_atom_site_occupancy
K1 0.000 0.168 0.000 1
Sc1 0.000 0.334 0.500 1
Bi1 0.000 0.000 0.500 1
O1 0.213 0.500 0.675 1
O2 0.230 0.177 0.674 1
```

Output
Calculated volume   16.37 Å³/atom
Raw formation energy   -25.08 eV/f.u.
Energy   -6.688 eV per atom